Model one:
Here is an optimized crystal structure of Al5Ga5Ag2 from Alexandria. Energies are from PBE.

Lattice parameters (Å, degrees): 12.3991 4.9227 7.5313 90.00 108.09 90.00
Closest atoms and distances in Å follow each position.
Space group C2/m (No. 12)
Inequivalent atoms, fractional coordinates:
Al: 0.0000 0.0000 0.0000 (multiplicity 2)  2 Ag 2.68, 4 Al 2.83-2.89, 4 Ga 2.83
Al: 0.0850 0.0000 0.4032 (multiplicity 4)  2 Ag 2.70-2.77, 3 Al 2.72-2.91, 5 Ga 2.80-2.86
Al: 0.2341 0.0000 0.2029 (multiplicity 4)  2 Al 2.72-2.83, 4 Ga 2.73-3.04, 3 Ag 2.91-2.98
Ga: 0.0000 0.5000 0.5000 (multiplicity 2)  2 Ga 2.78, 4 Al 2.86
Ga: 0.1099 0.5000 0.9848 (multiplicity 4)  3 Al 2.73-2.83, 2 Ga 2.77-2.80, 2 Ag 2.95
Ga: 0.1879 0.5000 0.3722 (multiplicity 4)  2 Ga 2.77-2.78, 1 Ag 2.78, 6 Al 2.80-3.04
Ag: 0.1384 0.0000 0.7884 (multiplicity 4)  6 Al 2.68-2.98, 3 Ga 2.78-2.95

Properties
Total moment ... 0.0 μB per cell
DOS at the Fermi energy ... 7.285 states/eV per cell

Model two:
Here is an optimized crystal structure of Al5Ga5Ag2 from Alexandria. Energies are from PBE.

Lattice parameters (Å, degrees): 12.7548 2.8757 12.8162 90.00 108.89 90.00
Closest atoms and distances in Å follow each position.
Space group C2/m (No. 12)
Inequivalent atoms, fractional coordinates:
Al: 0.0000 0.0000 0.0000 (multiplicity 2)  6 Al 2.81-2.88, 2 Ag 2.89, 4 Ga 2.99
Al: 0.1309 0.0000 0.6777 (multiplicity 4)  1 Ag 2.64, 3 Al 2.74-2.88, 4 Ga 2.75-2.79
Al: 0.1734 0.5000 0.1502 (multiplicity 4)  5 Al 2.74-2.88, 2 Ag 2.80, 3 Ga 2.90-3.01
Ga: 0.0000 0.5000 0.5000 (multiplicity 2)  4 Al 2.75, 2 Ga 2.88
Ga: 0.1577 0.5000 0.9108 (multiplicity 4)  4 Ga 2.88-3.06, 2 Ag 2.89, 5 Al 2.90-3.01
Ga: 0.2224 0.0000 0.4009 (multiplicity 4)  1 Ag 2.69, 2 Al 2.79, 4 Ga 2.80-2.88
Ag: 0.0296 0.0000 0.2335 (multiplicity 4)  4 Al 2.64-2.89, 3 Ga 2.69-2.89, 2 Ag 2.88

Properties
Total moment ... 0.0 μB per cell
DOS at the Fermi energy ... 7.250 states/eV per cell

model one has the most favorable energy; the next structure is 9 meV/atom above.

Model one:
Here is an optimized crystal structure of Al4GaAg2 from Alexandria. Energies are from PBE.

Lattice parameters (Å, degrees): 5.7095 5.7743 9.2843 94.17 102.87 117.21
Closest atoms and distances in Å follow each position.
Space group P-1 (No. 2)
Inequivalent atoms, fractional coordinates:
Al: 0.0077 0.2252 0.2363 (multiplicity 2)  1 Ga 2.72, 5 Al 2.83-2.96, 3 Ag 2.84-2.87
Al: 0.0487 0.7352 0.2594 (multiplicity 2)  1 Ga 2.54, 3 Ag 2.70-2.75, 2 Al 2.79-2.83
Al: 0.4698 0.2634 0.7583 (multiplicity 2)  6 Al 2.79-3.08, 3 Ag 2.82-2.85, 2 Ga 2.83-2.92
Al: 0.4715 0.7459 0.7364 (multiplicity 2)  3 Ag 2.69-2.74, 1 Ga 2.72, 6 Al 2.80-3.01
Ga: 0.2286 0.2889 0.0018 (multiplicity 2)  4 Al 2.54-2.83, 1 Ag 2.75
Ag: 0.0000 0.0000 0.5000 (multiplicity 1)  6 Al 2.75-2.85, 4 Ag 2.85-2.89
Ag: 0.0000 0.5000 0.5000 (multiplicity 1)  6 Al 2.70-2.84, 4 Ag 2.89-2.99
Ag: 0.5000 0.0000 0.0000 (multiplicity 1)  6 Al 2.69-2.87, 2 Ga 2.75
Ag: 0.5000 0.0000 0.5000 (multiplicity 1)  6 Al 2.70-2.83, 4 Ag 2.85-2.99

Properties
Total moment ... 0.0 μB per cell
DOS at the Fermi energy ... 4.219 states/eV per cell

Model two:
Here is an optimized crystal structure of Al4GaAg2 from Alexandria. Energies are from PBE.

Lattice parameters (Å, degrees): 3.0225 3.0225 45.2791 90.00 90.00 120.00
Closest atoms and distances in Å follow each position.
Space group R-3m (No. 166, hexagonal axes)
Inequivalent atoms, fractional coordinates:
Al: 0.0000 0.0000 0.1428 (multiplicity 6)  9 Al 2.78-3.02, 3 Ag 2.78
Al: 0.0000 0.0000 0.2861 (multiplicity 6)  3 Ga 2.76, 3 Ag 2.78, 6 Al 3.02
Ga: 0.0000 0.0000 0.0000 (multiplicity 3)  6 Al 2.76, 6 Ga 3.02
Ag: 0.0000 0.0000 0.4283 (multiplicity 6)  6 Al 2.78, 6 Ag 3.02

Properties
Total moment ... 0.0 μB per cell
DOS at the Fermi energy ... 7.724 states/eV per cell

model two has the most favorable energy; the next structure is 86 meV/atom above.

Model one:
Here is an optimized crystal structure of AlAg2Ge2 from Alexandria. Energies are from PBE.

Lattice parameters (Å, degrees): 7.5430 7.5430 3.3914 90.00 90.00 90.00
Closest atoms and distances in Å follow each position.
Space group P4/mbm (No. 127)
Inequivalent atoms, fractional coordinates:
Al: 0.0000 0.0000 0.0000 (multiplicity 2)  4 Ag 2.95, 8 Ge 3.27
Ag: 0.1326 0.3674 0.0000 (multiplicity 4)  6 Ge 2.70-2.86, 1 Ag 2.83, 2 Al 2.95
Ge: 0.1707 0.6707 0.5000 (multiplicity 4)  6 Ag 2.70-2.86

Properties
Total moment ... 0.0 μB per cell
DOS at the Fermi energy ... 2.906 states/eV per cell

Model two:
Here is an optimized crystal structure of AlAg2Ge2 from Alexandria. Energies are from PBE.

Lattice parameters (Å, degrees): 8.0980 8.0980 2.9484 90.00 90.00 90.00
Closest atoms and distances in Å follow each position.
Space group P4/mbm (No. 127)
Inequivalent atoms, fractional coordinates:
Al: 0.0000 0.0000 0.0000 (multiplicity 2)  2 Al 2.95, 4 Ge 3.01
Ag: 0.1300 0.3700 0.5000 (multiplicity 4)  6 Ge 2.74-2.84, 3 Ag 2.95-2.98
Ge: 0.1678 0.6678 0.0000 (multiplicity 4)  6 Ag 2.74-2.84, 2 Ge 2.95, 2 Al 3.01

Properties
Total moment ... 0.0 μB per cell
DOS at the Fermi energy ... 3.328 states/eV per cell

model two has the most favorable energy; the next structure is 23 meV/atom above.

Model one:
Here is an optimized crystal structure of Al2AgGe2 from Alexandria. Energies are from PBE.

Lattice parameters (Å, degrees): 4.3738 4.3738 10.3434 90.00 90.00 90.00
Closest atoms and distances in Å follow each position.
Space group I4/mmm (No. 139)
Inequivalent atoms, fractional coordinates:
Al: 0.0000 0.5000 0.2500 (multiplicity 4)  4 Ge 2.58
Ag: 0.0000 0.0000 0.0000 (multiplicity 2)  8 Ge 3.32, 8 Al 3.39
Ge: 0.0000 0.0000 0.3832 (multiplicity 4)  1 Ge 2.42, 4 Al 2.58

Properties
Total moment ... 0.0 μB per cell
DOS at the Fermi energy ... 3.644 states/eV per cell

Model two:
Here is an optimized crystal structure of Al2AgGe2 from Alexandria. Energies are from PBE.

Lattice parameters (Å, degrees): 7.5499 7.5499 3.2121 90.00 90.00 90.00
Closest atoms and distances in Å follow each position.
Space group P4/mbm (No. 127)
Inequivalent atoms, fractional coordinates:
Al: 0.1317 0.3683 0.0000 (multiplicity 4)  6 Ge 2.66-2.80, 1 Al 2.81, 2 Ag 2.95
Ag: 0.0000 0.0000 0.0000 (multiplicity 2)  4 Al 2.95, 2 Ag 3.21, 8 Ge 3.23
Ge: 0.1695 0.6695 0.5000 (multiplicity 4)  6 Al 2.66-2.80

Properties
Total moment ... 0.0 μB per cell
DOS at the Fermi energy ... 5.239 states/eV per cell

model two has the most favorable energy; the next structure is 20 meV/atom above.

Model one:
Here is an optimized crystal structure of AlAgGe3 from Alexandria. Energies are from PBE.

Lattice parameters (Å, degrees): 5.0025 5.0025 5.0025 90.00 90.00 90.00
Closest atoms and distances in Å follow each position.
Space group Pm-3m (No. 221)
Inequivalent atoms, fractional coordinates:
Al: 0.0000 0.0000 0.0000 (multiplicity 1)  12 Ge 3.54
Ag: 0.5000 0.5000 0.5000 (multiplicity 1)  6 Ge 2.50
Ge: 0.0000 0.5000 0.5000 (multiplicity 3)  2 Ag 2.50

Properties
Total moment ... 0.0 μB per cell
DOS at the Fermi energy ... 2.100 states/eV per cell

Model two:
Here is an optimized crystal structure of AlAgGe3 from Alexandria. Energies are from PBE.

Lattice parameters (Å, degrees): 4.8769 4.8769 4.8769 90.00 90.00 90.00
Closest atoms and distances in Å follow each position.
Space group Pm-3m (No. 221)
Inequivalent atoms, fractional coordinates:
Al: 0.0000 0.0000 0.0000 (multiplicity 1)  6 Ge 2.44
Ag: 0.5000 0.5000 0.5000 (multiplicity 1)  12 Ge 3.45
Ge: 0.0000 0.0000 0.5000 (multiplicity 3)  2 Al 2.44

Properties
Total moment ... 0.0 μB per cell
DOS at the Fermi energy ... 2.663 states/eV per cell

model two has the most favorable energy; the next structure is 177 meV/atom above.

Model one:
Here is an optimized crystal structure of Al3AgH from Alexandria. Energies are from PBE.

Lattice parameters (Å, degrees): 4.1174 4.1174 4.1174 90.00 90.00 90.00
Closest atoms and distances in Å follow each position.
Space group Pm-3m (No. 221)
Inequivalent atoms, fractional coordinates:
Al: 0.0000 0.0000 0.5000 (multiplicity 3)  2 H 2.06
Ag: 0.5000 0.5000 0.5000 (multiplicity 1)  12 Al 2.91
H: 0.0000 0.0000 0.0000 (multiplicity 1)  6 Al 2.06

Properties
Total moment ... 0.0 μB per cell
DOS at the Fermi energy ... 1.475 states/eV per cell

Model two:
Here is an optimized crystal structure of Al3AgH from Alexandria. Energies are from PBE.

Lattice parameters (Å, degrees): 4.8528 4.8528 4.8528 90.00 90.00 90.00
Closest atoms and distances in Å follow each position.
Space group Pm-3m (No. 221)
Inequivalent atoms, fractional coordinates:
Al: 0.0000 0.0000 0.5000 (multiplicity 3)  2 Ag 2.43
Ag: 0.0000 0.0000 0.0000 (multiplicity 1)  6 Al 2.43
H: 0.5000 0.5000 0.5000 (multiplicity 1)  12 Al 3.43

Properties
Total moment ... 0.0 μB per cell
DOS at the Fermi energy ... 3.250 states/eV per cell

model one has the most favorable energy; the next structure is 653 meV/atom above.